This record from Alexandria describes a relaxed AlAs2Br crystal. The functional is PBE.

Cell: 8.712 8.712 8.712 Å, 155.71 150.34 38.70°
Positions (direct):
1 Al 0.000 0.000 0.000
2 As 0.569 0.069 0.500
3 As 0.667 0.667 0.000
4 Br 0.895 0.395 0.500

Values from the calculation:
Excess energy over the best structure of this formula in the dataset: 73 meV/atom
Total magnetization: 0.00 μB/atom
Uncorrected formation energy: -150.1 meV/atom
Crystal system: orthorhombic